1:
! SrTaMo2 | the Alexandria database | GGA-PBE | relaxed; values from VASP
&SYSTEM
  ibrav = 0, nat = 4, ntyp = 3
/
ATOMIC_SPECIES
Sr 87.62 Sr.upf
Mo 95.94 Mo.upf
Ta 180.95 Ta.upf
CELL_PARAMETERS angstrom
-1.482 -3.558 -1.640
2.084 -1.607 1.602
-3.400 -1.489 6.303
ATOMIC_POSITIONS crystal
Sr 0.000 0.478 0.490
Mo 0.500 0.259 0.162
Mo 0.000 0.024 0.009
Ta 0.500 0.739 0.839
! space group = Pm, No. 6

***

2:
! SrTaMo2 | the Alexandria database | GGA-PBE | relaxed; values from VASP
&SYSTEM
  ibrav = 0, nat = 4, ntyp = 3
/
ATOMIC_SPECIES
Ta 180.95 Ta.upf
Mo 95.94 Mo.upf
Sr 87.62 Sr.upf
CELL_PARAMETERS angstrom
9.905 0.023 0.013
9.402 3.117 0.013
9.402 1.529 2.716
ATOMIC_POSITIONS crystal
Ta 0.735 0.735 0.735
Mo 0.997 0.997 0.997
Sr 0.503 0.503 0.503
Mo 0.265 0.265 0.265
! space group = R3m, No. 160

***

Energy comparison, zero being the most stable, in meV per atom: 1 0; 2 145.